The following is a GGA-PBE calculation of a geometry-optimized Li4Mg3Pd2 structure, from Alexandria.

```
Li4Mg3Pd2
1.0
4.7467 -2.3025 0.0000
4.7467 2.3025 0.0000
-1.9439 0.0000 6.9413
Li Mg Pd
4 3 2
Direct
0.1250 0.1250 0.1392 Li
0.3141 0.3141 0.4906 Li
0.6859 0.6859 0.5094 Li
0.8750 0.8750 0.8608 Li
0.0000 0.0000 0.5000 Mg
0.4334 0.4334 0.1664 Mg
0.5666 0.5666 0.8336 Mg
0.2284 0.2284 0.8149 Pd
0.7716 0.7716 0.1851 Pd
```

- space-group type = C2/m, No. 12
- formation energy (eV/atom) = -0.34
- Fermi-level density of states (states/eV per cell) = 3.666